# 1
A geometry-optimized HoTh2Sc structure, computed with PBE-GGA.

Calculated values
Magnetization   0.00 μB per formula unit
ΔE_f   0.04 eV/atom
Excess energy over the best structure of this formula in the dataset   4 meV/atom

```
data_HoTh2Sc
_space_group_name_H-M_alt 'P 4/m m m'
_space_group_IT_number 123
_space_group_name_Hall '-P 4 2'
_cell_length_a 4.969
_cell_length_b 4.969
_cell_length_c 4.875
_cell_angle_alpha 90.00
_cell_angle_beta 90.00
_cell_angle_gamma 90.00
loop_
_atom_site_label
_atom_site_fract_x
_atom_site_fract_y
_atom_site_fract_z
_atom_site_occupancy
Ho1 0.000 0.000 0.000 1
Th1 0.000 0.500 0.500 1
Sc1 0.500 0.500 0.000 1
```

=====

# 2
A geometry-optimized Fe2HgHPd structure, computed with PBE-GGA.

Calculated values
Magnetization   5.45 μB per formula unit
Excess energy over the best structure of this formula in the dataset   116 meV/atom

```
data_Fe2HgHPd
_space_group_name_H-M_alt 'P 4/m m m'
_space_group_IT_number 123
_space_group_name_Hall '-P 4 2'
_cell_length_a 3.795
_cell_length_b 3.795
_cell_length_c 4.421
_cell_angle_alpha 90.00
_cell_angle_beta 90.00
_cell_angle_gamma 90.00
loop_
_atom_site_label
_atom_site_fract_x
_atom_site_fract_y
_atom_site_fract_z
_atom_site_occupancy
Fe1 0.000 0.500 0.000 1
Hg1 0.000 0.000 0.500 1
H1 0.000 0.000 0.000 1
Pd1 0.500 0.500 0.500 1
```

=====

# 3
A geometry-optimized Ir3Rh2 structure, computed with PBE-GGA.

Calculated values
Magnetization   0.00 μB per formula unit
ΔE_f   0.30 eV/atom
Excess energy over the best structure of this formula in the dataset   308 meV/atom

```
data_Ir3Rh2
_space_group_name_H-M_alt 'F d d 2'
_space_group_IT_number 43
_space_group_name_Hall 'F 2 -2d'
_cell_length_a 6.408
_cell_length_b 13.005
_cell_length_c 7.252
_cell_angle_alpha 90.00
_cell_angle_beta 90.00
_cell_angle_gamma 90.00
loop_
_atom_site_label
_atom_site_fract_x
_atom_site_fract_y
_atom_site_fract_z
_atom_site_occupancy
Ir1 0.000 0.000 0.000 1
Ir2 0.057 0.096 0.675 1
Rh1 0.082 0.307 0.571 1
```